BaZrRh | GGA-PBEsol | relaxed

The value obtained for the calculated density is 7.6 g/cm3. The calculation puts the formation energy at 1.105 eV per atom.

```
data_BaZrRh
_chemical_formula_sum 'Ba4 Zr4 Rh4'
_symmetry_space_group_name_H-M 'F -4 3 m'
_symmetry_Int_Tables_number 216
_symmetry_space_group_name_Hall 'F -4 2 3'
_cell_length_a 6.608
_cell_length_b 6.608
_cell_length_c 6.608
_cell_angle_alpha 90.00
_cell_angle_beta 90.00
_cell_angle_gamma 90.00
loop_
_atom_site_label
_atom_site_type_symbol
_atom_site_fract_x
_atom_site_fract_y
_atom_site_fract_z
Ba1 Ba 0.000 0.000 0.000
Zr1 Zr 0.250 0.250 0.250
Rh1 Rh 0.250 0.250 0.750
```



BaZrRh3 | GGA-PBEsol | relaxed

The value obtained for the calculated density is 7.8 g/cm3. The calculation puts the formation energy at 0.252 eV per atom.

```
data_BaZrRh3
_chemical_formula_sum 'Ba1 Zr1 Rh3'
_symmetry_space_group_name_H-M 'P m -3 m'
_symmetry_Int_Tables_number 221
_symmetry_space_group_name_Hall '-P 4 2 3'
_cell_length_a 4.860
_cell_length_b 4.860
_cell_length_c 4.860
_cell_angle_alpha 90.00
_cell_angle_beta 90.00
_cell_angle_gamma 90.00
loop_
_atom_site_label
_atom_site_type_symbol
_atom_site_fract_x
_atom_site_fract_y
_atom_site_fract_z
Ba1 Ba 0.000 0.000 0.000
Zr1 Zr 0.500 0.500 0.500
Rh1 Rh 0.000 0.500 0.500
```



Ba3Ru | GGA-PBEsol | relaxed

The value obtained for the calculated density is 5.5 g/cm3. The calculation puts the formation energy at 0.622 eV per atom.

```
data_Ba3Ru
_chemical_formula_sum 'Ba3 Ru1'
_symmetry_space_group_name_H-M 'P m m 2'
_symmetry_Int_Tables_number 25
_cell_length_a 4.906
_cell_length_b 4.918
_cell_length_c 6.475
_cell_angle_alpha 90.00
_cell_angle_beta 90.00
_cell_angle_gamma 90.00
loop_
_symmetry_equiv_pos_as_xyz
'x,y,z'
'-x,-y,z'
'-x,y,z'
'x,-y,z'
loop_
_atom_site_label
_atom_site_type_symbol
_atom_site_fract_x
_atom_site_fract_y
_atom_site_fract_z
Ba1 Ba 0.000 0.000 0.000
Ba2 Ba 0.000 0.500 0.483
Ba3 Ba 0.500 0.500 0.044
Ru1 Ru 0.500 0.000 0.313
```



Taking the records one at a time from the top gives total moment values of 0.00 0.00 0.00 Bohr magnetons per cell.